No. 1
VASP calculation (PBE) on crystalline InCu2Sn at its relaxed geometry.

The energy comes out at -3.542 eV per atom. For the calculated density, the calculation gives 8.133 g/cm3. The energy of formation from the pure elements is 18.44 kJ/mol of atoms.

Geometry as CIF:
```
data_InCu2Sn
_cell_length_a 4.298
_cell_length_b 4.298
_cell_length_c 3.986
_cell_angle_alpha 90.00
_cell_angle_beta 90.00
_cell_angle_gamma 90.00
_space_group_name_H-M_alt 'P 4/m m m'
_space_group_IT_number 123
_space_group_name_Hall '-P 4 2'
loop_
_atom_site_label
_atom_site_type_symbol
_atom_site_fract_x
_atom_site_fract_y
_atom_site_fract_z
In1 In 0.000 0.000 0.000
Cu1 Cu 0.000 0.500 0.500
Sn1 Sn 0.500 0.500 0.000
```



No. 2
VASP calculation (PBE) on crystalline PrGdNi2 at its relaxed geometry.

The energy comes out at -7.864 eV per atom. For the calculated density, the calculation gives 8.277 g/cm3. The energy of formation from the pure elements is -24.95 kJ/mol of atoms.

Geometry as CIF:
```
data_PrGdNi2
_cell_length_a 6.935
_cell_length_b 6.935
_cell_length_c 6.935
_cell_angle_alpha 90.00
_cell_angle_beta 90.00
_cell_angle_gamma 90.00
_space_group_name_H-M_alt 'F m -3 m'
_space_group_IT_number 225
_space_group_name_Hall '-F 4 2 3'
loop_
_atom_site_label
_atom_site_type_symbol
_atom_site_fract_x
_atom_site_fract_y
_atom_site_fract_z
Pr1 Pr 0.000 0.000 0.000
Gd1 Gd 0.000 0.000 0.500
Ni1 Ni 0.250 0.250 0.250
```



no.,N(E_F) (states/eV per atom)
1,0.44
2,1.08